[1]
This record from Alexandria describes a geometry-optimized SbRuAu2 structure. The functional is GGA-PBE. Values from VASP.

Calculated values
The value obtained for the total energy is -19.10 eV/cell. The energy relative to the elements, uncorrected comes out at 20.7 kJ per mole of atoms. Its space-group type is Cm. The value obtained for the density of states at the Fermi level is 0.801 states/eV per atom.

Structure (Quantum ESPRESSO input):
```
&SYSTEM
  ibrav = 0, nat = 4, ntyp = 3
/
ATOMIC_SPECIES
Au 196.97 Au.upf
Ru 101.07 Ru.upf
Sb 121.76 Sb.upf
CELL_PARAMETERS angstrom
-3.772 0.493 2.938
-4.788 -0.394 -0.160
-0.723 -4.714 1.587
ATOMIC_POSITIONS angstrom
Au -0.755 -4.601 1.565
Au -7.019 -3.503 3.304
Ru -4.648 -2.150 2.139
Sb -2.224 -1.384 1.125
```


[2]
This record from Alexandria describes a geometry-optimized PmLuC structure. The functional is GGA-PBE. Values from VASP.

Calculated values
The value obtained for the total energy is -19.14 eV/cell. The value obtained for the energy relative to the elements is -0.65 eV per formula unit. Its space-group type is P3m1. The value obtained for the density of states at the Fermi level is 0.674 states/eV per atom.

Structure (Quantum ESPRESSO input):
```
&SYSTEM
  ibrav = 0, nat = 3, ntyp = 3
/
ATOMIC_SPECIES
C 12.01 C.upf
Lu 174.97 Lu.upf
Pm 145.00 Pm.upf
CELL_PARAMETERS angstrom
6.330 0.000 0.000
0.000 3.569 0.000
0.000 -1.784 3.090
ATOMIC_POSITIONS angstrom
C 2.028 0.000 2.060
Lu 0.792 0.000 0.000
Pm 3.511 1.784 1.030
```


[3]
This record from Alexandria describes a geometry-optimized KC2 structure. The functional is GGA-PBE. Values from VASP.

Calculated values
The value obtained for the total energy is -33.54 eV/cell. The value obtained for the energy relative to the elements is 2.77 eV per formula unit. Its space-group type is P6_3/mmc. The value obtained for the density of states at the Fermi level is 0.209 states/eV per atom. The calculation puts the energy above the most stable polymorph in this dataset at 420 meV per atom.

Structure (Quantum ESPRESSO input):
```
&SYSTEM
  ibrav = 0, nat = 6, ntyp = 2
/
ATOMIC_SPECIES
K 39.10 K.upf
C 12.01 C.upf
CELL_PARAMETERS angstrom
-1.732 1.992 -0.262
1.403 -0.253 2.238
7.548 6.028 -4.051
ATOMIC_POSITIONS angstrom
K 6.019 5.017 -1.634
K 1.200 2.751 -0.442
C 4.075 3.465 -0.591
C 6.805 7.227 -3.450
C 3.143 4.303 -1.485
C 0.414 0.541 1.374
```


[4]
This record from Alexandria describes a geometry-optimized SbPAu structure. The functional is GGA-PBE. Values from VASP.

Calculated values
The value obtained for the total energy is -11.90 eV/cell. The energy relative to the elements, uncorrected comes out at 29.3 kJ per mole of atoms. Its space-group type is F-43m. The value obtained for the density of states at the Fermi level is 0.305 states/eV per atom. The calculation puts the energy above the most stable polymorph in this dataset at 226 meV per atom.

Structure (Quantum ESPRESSO input):
```
&SYSTEM
  ibrav = 0, nat = 3, ntyp = 3
/
ATOMIC_SPECIES
Sb 121.76 Sb.upf
P 30.97 P.upf
Au 196.97 Au.upf
CELL_PARAMETERS angstrom
-1.469 -0.606 4.329
-2.686 3.177 1.990
-4.443 -0.923 0.820
ATOMIC_POSITIONS angstrom
Sb -4.299 0.824 3.569
P 0.000 0.000 0.000
Au -2.150 0.412 1.785
```


[5]
This record from Alexandria describes a geometry-optimized HgC3Br structure. The functional is GGA-PBE. Values from VASP.

Calculated values
The value obtained for the total energy is -12.10 eV/cell. The energy relative to the elements, uncorrected comes out at 338.6 kJ per mole of atoms. Its space-group type is Pm-3m. The value obtained for the density of states at the Fermi level is 0.860 states/eV per atom. The calculation puts the energy above the most stable polymorph in this dataset at 0 meV per atom.

Structure (Quantum ESPRESSO input):
```
&SYSTEM
  ibrav = 0, nat = 5, ntyp = 3
/
ATOMIC_SPECIES
C 12.01 C.upf
Hg 200.59 Hg.upf
Br 79.90 Br.upf
CELL_PARAMETERS angstrom
4.444 0.000 0.000
0.000 4.444 0.000
0.000 0.000 4.444
ATOMIC_POSITIONS angstrom
C 0.000 2.222 0.000
C 0.000 0.000 2.222
C 2.222 0.000 0.000
Hg 0.000 0.000 0.000
Br 2.222 2.222 2.222
```


[6]
This record from Alexandria describes a geometry-optimized Li4EuIr structure. The functional is GGA-PBE. Values from VASP.

Calculated values
The value obtained for the total energy is -26.55 eV/cell. The value obtained for the energy relative to the elements is 0.25 eV per formula unit. Its space-group type is F-43m. The value obtained for the density of states at the Fermi level is 0.749 states/eV per atom.

Structure (Quantum ESPRESSO input):
```
&SYSTEM
  ibrav = 0, nat = 6, ntyp = 3
/
ATOMIC_SPECIES
Eu 151.96 Eu.upf
Ir 192.22 Ir.upf
Li 6.94 Li.upf
CELL_PARAMETERS angstrom
-1.339 4.458 2.430
-1.553 -0.107 5.015
3.097 1.979 3.750
ATOMIC_POSITIONS angstrom
Eu 0.051 1.582 2.799
Ir 0.000 0.000 0.000
Li -1.471 2.960 5.106
Li 0.932 4.038 4.452
Li 0.129 3.983 7.044
Li 0.822 1.679 5.788
```


[7]
This record from Alexandria describes a geometry-optimized BaNb3W structure. The functional is GGA-PBE. Values from VASP.

Calculated values
The value obtained for the total energy is -29.82 eV/cell. The value obtained for the energy relative to the elements is 15.26 eV per formula unit. Its space-group type is Pm-3m. The value obtained for the density of states at the Fermi level is 1.729 states/eV per atom. The calculation puts the energy above the most stable polymorph in this dataset at 1902 meV per atom.

Structure (Quantum ESPRESSO input):
```
&SYSTEM
  ibrav = 0, nat = 5, ntyp = 3
/
ATOMIC_SPECIES
Nb 92.91 Nb.upf
Ba 137.33 Ba.upf
W 183.84 W.upf
CELL_PARAMETERS angstrom
-3.761 -2.900 -1.427
2.920 -2.110 -3.407
1.385 -3.424 3.308
ATOMIC_POSITIONS angstrom
Nb 1.460 -1.055 -1.703
Nb 0.693 -1.712 1.654
Nb -1.880 -1.450 -0.714
Ba 0.000 0.000 0.000
W 0.272 -4.217 -0.763
```


[8]
This record from Alexandria describes a geometry-optimized Nd2Mg2Ag structure. The functional is GGA-PBE. Values from VASP.

Calculated values
The value obtained for the total energy is -16.23 eV/cell. The value obtained for the energy relative to the elements is -0.65 eV per formula unit. Its space-group type is C2/m. The value obtained for the density of states at the Fermi level is 1.118 states/eV per atom.

Structure (Quantum ESPRESSO input):
```
&SYSTEM
  ibrav = 0, nat = 5, ntyp = 3
/
ATOMIC_SPECIES
Nd 144.24 Nd.upf
Mg 24.30 Mg.upf
Ag 107.87 Ag.upf
CELL_PARAMETERS angstrom
4.071 -2.679 1.964
-0.327 5.192 0.743
2.344 -0.969 7.881
ATOMIC_POSITIONS angstrom
Nd 4.202 -0.831 7.738
Nd 1.886 2.374 2.850
Mg 2.415 -0.529 4.816
Mg 3.674 2.072 5.773
Ag -0.163 2.596 0.372
```


[9]
This record from Alexandria describes a geometry-optimized MgTiSn2 structure. The functional is GGA-PBE. Values from VASP.

Calculated values
The value obtained for the total energy is -17.54 eV/cell. The value obtained for the energy relative to the elements is -0.04 eV per formula unit. Its space-group type is R-3m. The value obtained for the density of states at the Fermi level is 0.733 states/eV per atom.

Structure (Quantum ESPRESSO input):
```
&SYSTEM
  ibrav = 0, nat = 4, ntyp = 3
/
ATOMIC_SPECIES
Mg 24.30 Mg.upf
Sn 118.71 Sn.upf
Ti 47.87 Ti.upf
CELL_PARAMETERS angstrom
-3.203 0.455 -0.289
-2.056 -2.395 0.767
-2.141 2.803 9.884
ATOMIC_POSITIONS angstrom
Mg 0.000 0.000 0.000
Sn -2.032 1.831 7.144
Sn -5.369 -0.968 3.218
Ti -3.700 0.431 5.181
```


[10]
This record from Alexandria describes a geometry-optimized KZrZn2 structure. The functional is GGA-PBE. Values from VASP.

Calculated values
The value obtained for the total energy is -9.36 eV/cell. The value obtained for the energy relative to the elements is 2.83 eV per formula unit. Its space-group type is F-43m. The value obtained for the density of states at the Fermi level is 1.119 states/eV per atom. The calculation puts the energy above the most stable polymorph in this dataset at 635 meV per atom.

Structure (Quantum ESPRESSO input):
```
&SYSTEM
  ibrav = 0, nat = 4, ntyp = 3
/
ATOMIC_SPECIES
K 39.10 K.upf
Zn 65.41 Zn.upf
Zr 91.22 Zr.upf
CELL_PARAMETERS angstrom
4.947 0.000 0.000
2.473 4.284 0.000
2.473 1.428 4.039
ATOMIC_POSITIONS angstrom
K 4.947 2.856 2.019
Zn 0.000 0.000 0.000
Zn 2.473 1.428 1.010
Zr 7.420 4.284 3.029
```


[11]
This record from Alexandria describes a geometry-optimized Sc3TcO structure. The functional is GGA-PBE. Values from VASP.

Calculated values
The value obtained for the total energy is -149.40 eV/cell. The energy relative to the elements, uncorrected comes out at -58.5 kJ per mole of atoms. Its space-group type is Fd-3m. The value obtained for the density of states at the Fermi level is 1.657 states/eV per atom. The calculation puts the energy above the most stable polymorph in this dataset at 717 meV per atom.

Structure (Quantum ESPRESSO input):
```
&SYSTEM
  ibrav = 0, nat = 20, ntyp = 3
/
ATOMIC_SPECIES
Sc 44.96 Sc.upf
Tc 98.00 Tc.upf
O 16.00 O.upf
CELL_PARAMETERS angstrom
-7.830 -1.367 1.292
-3.826 3.832 5.960
-5.418 5.707 -1.707
ATOMIC_POSITIONS angstrom
Sc -8.111 0.800 1.880
Sc -4.550 4.209 1.974
Sc -5.508 1.399 3.166
Sc -3.988 -0.123 0.798
Sc -2.397 1.942 2.653
Sc -11.377 4.239 0.851
Sc -6.140 2.144 0.120
Sc -3.030 2.687 -0.394
Sc -5.698 3.933 4.694
Sc -8.964 7.372 3.664
Sc -6.657 5.063 0.072
Sc -10.417 3.109 5.472
Tc -10.672 5.107 3.465
Tc -8.758 3.192 0.485
Tc -6.757 5.791 2.819
Tc -7.962 2.254 4.319
O -2.134 1.021 0.693
O -4.047 2.937 3.673
O -6.049 0.338 1.339
O -4.844 3.875 -0.161
```


[12]
This record from Alexandria describes a geometry-optimized Sc2TcP structure. The functional is GGA-PBE. Values from VASP.

Calculated values
The value obtained for the total energy is -30.17 eV/cell. The value obtained for the energy relative to the elements is -1.73 eV per formula unit. Its space-group type is C2/m. The value obtained for the density of states at the Fermi level is 0.694 states/eV per atom.

Structure (Quantum ESPRESSO input):
```
&SYSTEM
  ibrav = 0, nat = 4, ntyp = 3
/
ATOMIC_SPECIES
Sc 44.96 Sc.upf
Tc 98.00 Tc.upf
P 30.97 P.upf
CELL_PARAMETERS angstrom
-3.145 -3.136 1.000
-1.955 -1.382 3.873
-4.176 2.299 0.326
ATOMIC_POSITIONS angstrom
Sc -4.412 0.483 1.533
Sc -4.864 -2.702 3.666
Tc -2.550 -2.259 2.436
P -2.088 1.149 0.163
```


[13]
This record from Alexandria describes a geometry-optimized Zr5Zn4 structure. The functional is GGA-PBE. Values from VASP.

Calculated values
The value obtained for the total energy is -48.65 eV/cell. The value obtained for the energy relative to the elements is -0.81 eV per formula unit. Its space-group type is I4/mmm. The value obtained for the density of states at the Fermi level is 1.010 states/eV per atom. The calculation puts the energy above the most stable polymorph in this dataset at 109 meV per atom.

Structure (Quantum ESPRESSO input):
```
&SYSTEM
  ibrav = 0, nat = 9, ntyp = 2
/
ATOMIC_SPECIES
Zr 91.22 Zr.upf
Zn 65.41 Zn.upf
CELL_PARAMETERS angstrom
4.765 -4.360 2.036
-3.771 5.291 1.909
-5.073 -4.485 0.130
ATOMIC_POSITIONS angstrom
Zr 0.000 0.000 0.000
Zr -3.021 -2.654 1.388
Zr -1.057 -0.899 2.686
Zr 1.947 -1.173 1.994
Zr -0.953 2.105 1.951
Zn -0.106 -3.059 0.749
Zn -0.201 -5.786 1.417
Zn -3.059 0.279 0.705
Zn -5.785 0.527 1.333
```


[14]
This record from Alexandria describes a geometry-optimized YRuPb structure. The functional is GGA-PBE. Values from VASP.

Calculated values
The value obtained for the total energy is -19.88 eV/cell. The value obtained for the energy relative to the elements is -0.43 eV per formula unit. Its space-group type is I4mm. The value obtained for the density of states at the Fermi level is 0.871 states/eV per atom.

Structure (Quantum ESPRESSO input):
```
&SYSTEM
  ibrav = 0, nat = 3, ntyp = 3
/
ATOMIC_SPECIES
Pb 207.20 Pb.upf
Ru 101.07 Ru.upf
Y 88.91 Y.upf
CELL_PARAMETERS angstrom
-1.771 3.757 4.694
-2.444 0.592 5.741
2.654 0.140 2.122
ATOMIC_POSITIONS angstrom
Pb 2.480 0.247 2.333
Ru -1.893 2.926 7.625
Y 0.507 1.456 4.721
```


[15]
This record from Alexandria describes a geometry-optimized CaMo4Br structure. The functional is GGA-PBE. Values from VASP.

Calculated values
The value obtained for the total energy is -42.26 eV/cell. The energy relative to the elements, uncorrected comes out at 76.2 kJ per mole of atoms. Its space-group type is F-43m. The value obtained for the density of states at the Fermi level is 0.971 states/eV per atom.

Structure (Quantum ESPRESSO input):
```
&SYSTEM
  ibrav = 0, nat = 6, ntyp = 3
/
ATOMIC_SPECIES
Ca 40.08 Ca.upf
Mo 95.94 Mo.upf
Br 79.90 Br.upf
CELL_PARAMETERS angstrom
-2.945 0.743 4.543
-4.862 2.481 -0.271
-4.582 -2.873 0.787
ATOMIC_POSITIONS angstrom
Ca 0.000 0.000 0.000
Mo -6.120 0.497 4.140
Mo -6.924 -1.279 2.295
Mo -7.062 1.351 1.775
Mo -4.673 0.132 1.908
Br -9.292 0.263 3.794
```


[16]
This record from Alexandria describes a geometry-optimized SrPm2Pr3Se6 structure. The functional is GGA-PBE. Values from VASP.

Calculated values
The value obtained for the total energy is -68.74 eV/cell. The energy relative to the elements, uncorrected comes out at -179.4 kJ per mole of atoms. Its space-group type is C2/m. The value obtained for the density of states at the Fermi level is 0.496 states/eV per atom.

Structure (Quantum ESPRESSO input):
```
&SYSTEM
  ibrav = 0, nat = 12, ntyp = 4
/
ATOMIC_SPECIES
Sr 87.62 Sr.upf
Pm 145.00 Pm.upf
Pr 140.91 Pr.upf
Se 78.96 Se.upf
CELL_PARAMETERS angstrom
-2.783 4.416 -5.207
-0.493 -7.321 -0.715
-5.047 1.053 5.323
ATOMIC_POSITIONS angstrom
Sr 0.000 0.000 0.000
Pm -1.256 -3.413 -2.210
Pm -2.021 0.508 -3.711
Pr -3.391 -4.876 1.212
Pr -4.932 3.024 -1.811
Pr -4.162 -0.926 -0.299
Se -6.630 0.598 -1.190
Se -3.663 -1.904 -3.108
Se -1.693 -2.451 0.592
Se -5.857 -3.364 0.326
Se -4.660 0.052 2.510
Se -2.466 1.512 -0.925
```


[17]
This record from Alexandria describes a geometry-optimized ScTl2SbOs structure. The functional is GGA-PBE. Values from VASP.

Calculated values
The value obtained for the total energy is -24.63 eV/cell. The energy relative to the elements, uncorrected comes out at 34.4 kJ per mole of atoms. Its space-group type is P4/mmm. The value obtained for the density of states at the Fermi level is 1.055 states/eV per atom.

Structure (Quantum ESPRESSO input):
```
&SYSTEM
  ibrav = 0, nat = 5, ntyp = 4
/
ATOMIC_SPECIES
Sc 44.96 Sc.upf
Sb 121.76 Sb.upf
Tl 204.38 Tl.upf
Os 190.23 Os.upf
CELL_PARAMETERS angstrom
-3.876 -0.716 3.538
1.448 -4.749 0.626
3.268 1.508 3.886
ATOMIC_POSITIONS angstrom
Sc 0.724 -2.375 0.313
Sb 0.420 -1.978 4.025
Tl 1.634 0.754 1.943
Tl -1.938 -0.358 1.769
Os 0.000 0.000 0.000
```